## one
VASP calculation (PBE) on an optimized crystal structure of NaTl2Hg3.

Cell and atoms, written as POSCAR:
```
NaTl2Hg3
1.0
4.856 -5.715 0.000
4.856 5.715 0.000
-0.175 0.000 6.226
Na Tl Hg
2 4 6
direct
0.096 0.904 0.750 Na
0.904 0.096 0.250 Na
0.083 0.585 0.260 Tl
0.415 0.917 0.240 Tl
0.585 0.083 0.760 Tl
0.917 0.415 0.740 Tl
0.255 0.269 0.004 Hg
0.269 0.255 0.504 Hg
0.365 0.635 0.750 Hg
0.635 0.365 0.250 Hg
0.731 0.745 0.496 Hg
0.745 0.731 0.996 Hg
```

Summary:
- M_tot: 0.000 μB/atom
- D(E_F): 5.688 states/eV per cell
- Crystal system: monoclinic

---

## two
VASP calculation (PBE) on an optimized crystal structure of NaTl2Hg3.

Cell and atoms, written as POSCAR:
```
NaTl2Hg3
1.0
2.821 -8.499 0.000
2.821 8.499 0.000
0.000 0.000 6.876
Na Tl Hg
2 4 6
direct
0.163 0.837 0.000 Na
0.837 0.163 0.000 Na
0.163 0.837 0.500 Tl
0.500 0.500 0.000 Tl
0.500 0.500 0.500 Tl
0.837 0.163 0.500 Tl
0.000 0.000 0.244 Hg
0.000 0.000 0.756 Hg
0.327 0.673 0.240 Hg
0.327 0.673 0.760 Hg
0.673 0.327 0.240 Hg
0.673 0.327 0.760 Hg
```

Summary:
- M_tot: 0.000 μB/atom
- D(E_F): 5.165 states/eV per cell
- Crystal system: orthorhombic

---

Last place for stability: one

---

## one
VASP calculation (PBE) on an optimized crystal structure of Na3Tl2Hg.

Cell and atoms, written as POSCAR:
```
Na3Tl2Hg
1.0
2.368 -7.378 0.000
2.368 7.378 0.000
0.000 0.000 9.502
Na Tl Hg
6 4 2
direct
0.000 0.000 0.250 Na
0.000 0.000 0.750 Na
0.332 0.668 0.241 Na
0.332 0.668 0.759 Na
0.668 0.332 0.241 Na
0.668 0.332 0.759 Na
0.169 0.831 0.500 Tl
0.500 0.500 0.000 Tl
0.500 0.500 0.500 Tl
0.831 0.169 0.500 Tl
0.165 0.835 0.000 Hg
0.835 0.165 0.000 Hg
```

Summary:
- M_tot: 0.000 μB/atom
- D(E_F): 6.181 states/eV per cell
- Crystal system: orthorhombic

---

## two
VASP calculation (PBE) on an optimized crystal structure of Na3Tl2Hg.

Cell and atoms, written as POSCAR:
```
Na3Tl2Hg
1.0
8.497 -3.539 0.000
8.497 3.539 0.000
-1.565 0.000 5.387
Na Tl Hg
6 4 2
direct
0.138 0.862 0.750 Na
0.215 0.454 0.499 Na
0.454 0.215 0.999 Na
0.546 0.785 0.001 Na
0.785 0.546 0.501 Na
0.862 0.138 0.250 Na
0.038 0.288 0.980 Tl
0.288 0.038 0.480 Tl
0.712 0.962 0.520 Tl
0.962 0.712 0.020 Tl
0.379 0.621 0.250 Hg
0.621 0.379 0.750 Hg
```

Summary:
- M_tot: 0.000 μB/atom
- D(E_F): 3.348 states/eV per cell
- Crystal system: monoclinic

---

Last place for stability: one